# 1
VASP calculation (PBE) on Sn3Pd6Pt after structural relaxation.

Cell lengths 9.0757, 4.2225, 10.6917 Å; angles 90.00, 112.90, 90.00 degrees
Space group P2_1/m (No. 11)
Asymmetric unit:
Sn (0.1314, 0.2500, 0.2070) [2 per cell]
Sn (0.3551, 0.7500, 0.9454) [2 per cell]
Sn (0.3635, 0.7500, 0.6211) [2 per cell]
Pd (0.1275, 0.7500, 0.0506) [2 per cell]
Pd (0.1298, 0.7500, 0.3676) [2 per cell]
Pd (0.1394, 0.2500, 0.8751) [2 per cell]
Pd (0.1396, 0.2500, 0.5518) [2 per cell]
Pd (0.3826, 0.2500, 0.4485) [2 per cell]
Pd (0.3916, 0.2500, 0.1324) [2 per cell]
Pt (0.1113, 0.7500, 0.6998) [2 per cell]

Summary:
Energy of formation ... -367 kJ/mol of formula units

# 2
VASP calculation (PBE) on Ac6In2C after structural relaxation.

Cell lengths 7.6535, 7.6535, 10.8389 Å; angles 90.00, 90.00, 90.00 degrees
Space group I4/mmm (No. 139)
Asymmetric unit:
Ac (0.0000, 0.0000, 0.2445) [4 per cell]
Ac (0.2449, 0.2449, 0.0000) [8 per cell]
In (0.0000, 0.5000, 0.2500) [4 per cell]
C (0.0000, 0.0000, 0.0000) [2 per cell]

Summary:
Energy of formation ... -145 kJ/mol of formula units

# 3
VASP calculation (PBE) on LaIrOs2 after structural relaxation.

Cell lengths 2.8337, 3.6864, 7.1174 Å; angles 90.00, 90.00, 90.00 degrees
Space group Pmm2 (No. 25)
Asymmetric unit:
La (0.0000, 0.0000, 0.0000) [1 per cell]
Ir (0.5000, 0.5000, 0.7040) [1 per cell]
Os (0.0000, 0.0000, 0.4973) [1 per cell]
Os (0.5000, 0.5000, 0.3288) [1 per cell]

Summary:
Energy above the lowest structure with this stoichiometry ... 0.021 eV/atom
Energy of formation ... 82 kJ/mol of formula units

# 4
VASP calculation (PBE) on Ca6GeP2 after structural relaxation.

Cell lengths 14.1903, 5.3449, 9.5918 Å; angles 90.00, 123.76, 90.00 degrees
Space group C2/m (No. 12)
Asymmetric unit:
Ca (0.0371, 0.0000, 0.2169) [4 per cell]
Ca (0.1431, 0.5000, 0.5643) [4 per cell]
Ca (0.2485, 0.5000, 0.1354) [4 per cell]
Ge (0.0000, 0.0000, 0.5000) [2 per cell]
P (0.1758, 0.0000, 0.0912) [4 per cell]

Summary:
Energy of formation ... -635 kJ/mol of formula units

# 5
VASP calculation (PBE) on Pr4PHS2 after structural relaxation.

Cell lengths 5.7683, 5.7683, 11.5803 Å; angles 90.00, 90.00, 90.00 degrees
Space group I-4m2 (No. 119)
Asymmetric unit:
Pr (0.0000, 0.0000, 0.2440) [4 per cell]
Pr (0.0000, 0.5000, 0.5016) [4 per cell]
P (0.0000, 0.5000, 0.7500) [2 per cell]
H (0.0000, 0.0000, 0.5000) [2 per cell]
S (0.0000, 0.0000, 0.0000) [2 per cell]
S (0.0000, 0.5000, 0.2500) [2 per cell]

Summary:
Energy ... -0.437 Ry/atom

# 6
VASP calculation (PBE) on CoRe4Tc after structural relaxation.

Cell lengths 7.2053, 7.2053, 7.2053 Å; angles 90.00, 90.00, 90.00 degrees
Space group F-43m (No. 216)
Asymmetric unit:
Co (0.0000, 0.0000, 0.0000) [4 per cell]
Re (0.1258, 0.1258, 0.6258) [16 per cell]
Tc (0.2500, 0.2500, 0.2500) [4 per cell]

Summary:
Energy above the lowest structure with this stoichiometry ... 0.319 eV/atom
Energy of formation ... 278 kJ/mol of formula units

# 7
VASP calculation (PBE) on ScGe2O4 after structural relaxation.

Cell lengths 6.8719, 6.8719, 6.0630 Å; angles 90.00, 90.00, 90.00 degrees
Space group I4/m (No. 87)
Asymmetric unit:
Sc (0.0000, 0.0000, 0.0000) [2 per cell]
Ge (0.0000, 0.5000, 0.2500) [4 per cell]
O (0.0036, 0.3010, 0.0000) [8 per cell]

Summary:
E_form (uncorrected) ... -1415 meV per atom

# 8
VASP calculation (PBE) on Li5Sm12Ho3 after structural relaxation.

Cell lengths 17.9129, 17.9129, 17.9129 Å; angles 90.00, 90.00, 90.00 degrees
Space group Ia-3d (No. 230)
Asymmetric unit:
Li (0.0000, 0.0000, 0.0000) [16 per cell]
Li (0.0000, 0.2500, 0.3750) [24 per cell]
Sm (0.0219, 0.0726, 0.6435) [96 per cell]
Ho (0.0000, 0.2500, 0.1250) [24 per cell]

Summary:
Energy of formation ... 1437 kJ/mol of formula units

What did the first record say?
VASP calculation (PBE) on Sn3Pd6Pt after structural relaxation.

Cell lengths 9.0757, 4.2225, 10.6917 Å; angles 90.00, 112.90, 90.00 degrees
Space group P2_1/m (No. 11)
Asymmetric unit:
Sn (0.1314, 0.2500, 0.2070) [2 per cell]
Sn (0.3551, 0.7500, 0.9454) [2 per cell]
Sn (0.3635, 0.7500, 0.6211) [2 per cell]
Pd (0.1275, 0.7500, 0.0506) [2 per cell]
Pd (0.1298, 0.7500, 0.3676) [2 per cell]
Pd (0.1394, 0.2500, 0.8751) [2 per cell]
Pd (0.1396, 0.2500, 0.5518) [2 per cell]
Pd (0.3826, 0.2500, 0.4485) [2 per cell]
Pd (0.3916, 0.2500, 0.1324) [2 per cell]
Pt (0.1113, 0.7500, 0.6998) [2 per cell]

Summary:
Energy of formation ... -367 kJ/mol of formula units

What did the third record say?
VASP calculation (PBE) on LaIrOs2 after structural relaxation.

Cell lengths 2.8337, 3.6864, 7.1174 Å; angles 90.00, 90.00, 90.00 degrees
Space group Pmm2 (No. 25)
Asymmetric unit:
La (0.0000, 0.0000, 0.0000) [1 per cell]
Ir (0.5000, 0.5000, 0.7040) [1 per cell]
Os (0.0000, 0.0000, 0.4973) [1 per cell]
Os (0.5000, 0.5000, 0.3288) [1 per cell]

Summary:
Energy above the lowest structure with this stoichiometry ... 0.021 eV/atom
Energy of formation ... 82 kJ/mol of formula units

Number 8 is which compound? Li5Sm12Ho3